VASP calculation (GGA-PBE) on an optimized crystal structure of AcLa2TlN.

## Properties
For the uncorrected formation energy, the calculation gives -3.86 eV per formula unit. Its crystal system is tetragonal. Its symmetry is P4/mmm.

a b c (Å): 5.1585 5.1585 5.3304
angles (deg): 90.00 90.00 90.00
Closest atoms and distances in Å follow each position.
Element x y z (fractional)
1 Ac 0.0000 0.0000 0.0000  2 N 2.67
2 La 0.0000 0.5000 0.5000  2 N 2.58
3 La 0.5000 0.0000 0.5000  2 N 2.58
4 Tl 0.5000 0.5000 0.0000  4 Ac 3.65, 8 La 3.71
5 N 0.0000 0.0000 0.5000  4 La 2.58, 2 Ac 2.67